(1)
A crystal of La2CdPb relaxed with PBEsol, computed with meta-GGA SCAN.

Structure (POSCAR):
```
La2CdPb
1.0
7.230 0.000 0.000
0.000 8.893 0.000
0.000 0.000 3.631
La Cd Pb
4 2 2
Cartesian
1.808 2.223 0.000
1.808 6.670 0.000
5.423 2.223 0.000
5.423 6.670 0.000
0.000 0.000 1.815
3.615 4.447 1.815
0.000 4.447 1.815
3.615 0.000 1.815
```

Results
- Density of states at the Fermi level: 2.611 states/eV/f.u.
- Symmetry: No. 65
- ΔE_f: -641 meV/atom

(2)
A crystal of ReAg2Se relaxed with PBEsol, computed with meta-GGA SCAN.

Structure (POSCAR):
```
ReAg2Se
1.0
2.913 0.000 0.000
0.000 4.489 0.000
0.000 0.000 4.977
Re Ag Se
1 2 1
Cartesian
0.000 0.000 0.000
0.000 2.245 2.489
1.457 0.000 2.489
1.457 2.245 0.000
```

Results
- Density of states at the Fermi level: 3.482 states/eV/f.u.
- Symmetry: No. 47
- Raw formation energy: 821 meV per atom

(3)
A crystal of Cd3Au relaxed with PBEsol, computed with meta-GGA SCAN.

Structure (POSCAR):
```
Cd3Au
1.0
5.390 0.000 0.000
0.000 5.390 0.000
0.000 0.000 5.390
Cd Au
6 2
Cartesian
0.000 1.348 2.695
0.000 4.043 2.695
1.348 2.695 0.000
2.695 0.000 1.348
2.695 0.000 4.043
4.043 2.695 0.000
0.000 0.000 0.000
2.695 2.695 2.695
```

Results
- Density of states at the Fermi level: 1.326 states/eV/f.u.
- Symmetry: No. 223
- ΔE_f: -106 meV/atom

(4)
A crystal of AgAsPt2 relaxed with PBEsol, computed with meta-GGA SCAN.

Structure (POSCAR):
```
AgAsPt2
1.0
2.803 0.000 0.000
0.000 4.157 0.000
0.000 0.000 5.534
Ag As Pt
1 1 2
Cartesian
0.000 0.000 0.000
1.402 0.000 2.767
1.402 2.079 1.354
1.402 2.079 4.180
```

Results
- Density of states at the Fermi level: 1.653 states/eV/f.u.
- Symmetry: No. 47
- ΔE_f: -132 meV/atom

(5)
A crystal of RbLaTa2O7 relaxed with PBEsol, computed with meta-GGA SCAN.

Structure (POSCAR):
```
RbLaTa2O7
1.0
3.873 0.000 0.000
0.000 3.873 0.000
0.000 0.000 11.166
Rb La Ta O
1 1 2 7
Cartesian
0.000 0.000 0.000
0.000 0.000 5.583
1.937 1.937 3.326
1.937 1.937 7.840
0.000 1.937 3.757
0.000 1.937 7.409
1.937 0.000 3.757
1.937 0.000 7.409
1.937 1.937 1.530
1.937 1.937 5.583
1.937 1.937 9.635
```

Results
- Density of states at the Fermi level: 0.000 states/eV/f.u.
- Symmetry: No. 123
- Raw formation energy: -3195 meV per atom

(6)
A crystal of CuSbSe2 relaxed with PBEsol, computed with meta-GGA SCAN.

Structure (POSCAR):
```
CuSbSe2
1.0
6.309 0.000 0.000
0.000 3.965 0.000
0.000 0.000 14.638
Cu Sb Se
4 4 8
Cartesian
1.544 0.991 2.504
1.611 2.974 9.823
4.698 0.991 4.814
4.765 2.974 12.133
1.379 2.974 6.539
1.776 0.991 13.858
4.533 2.974 0.780
4.930 0.991 8.098
0.756 0.991 4.756
0.779 2.974 1.406
2.375 0.991 8.725
2.399 2.974 12.075
3.910 0.991 2.562
3.933 2.974 5.913
5.530 0.991 13.232
5.553 2.974 9.881
```

Results
- Symmetry: No. 62
- Raw formation energy: -202 meV per atom

(7)
A crystal of Ta3In2Cl9 relaxed with PBEsol, computed with meta-GGA SCAN.

Structure (POSCAR):
```
Ta3In2Cl9
1.0
5.321 -7.686 0.000
5.321 7.686 0.000
-4.387 0.000 8.434
Ta In Cl
6 4 18
Cartesian
-1.416 1.430 5.422
-0.484 0.000 3.107
-1.416 -1.430 5.422
7.671 1.430 3.011
6.739 0.000 5.326
7.671 -1.430 3.011
3.502 2.360 1.384
2.753 2.360 7.050
3.502 -2.360 1.384
2.753 -2.360 7.050
4.225 5.967 1.470
-0.430 3.263 6.965
2.030 5.967 6.964
0.756 1.716 4.336
3.127 4.268 4.217
1.675 0.000 1.736
-0.302 0.000 7.093
0.756 -1.716 4.336
6.685 3.263 1.468
-0.430 -3.263 6.965
5.499 1.716 4.098
6.557 0.000 1.341
4.580 0.000 6.698
3.127 -4.268 4.217
5.499 -1.716 4.098
4.225 -5.967 1.470
6.685 -3.263 1.468
2.030 -5.967 6.964
```

Results
- Symmetry: No. 12
- Raw formation energy: -1262 meV per atom

(8)
A crystal of Os3Rh relaxed with PBEsol, computed with meta-GGA SCAN.

Structure (POSCAR):
```
Os3Rh
1.0
2.719 0.000 0.000
0.000 4.307 0.000
0.000 0.000 4.720
Os Rh
3 1
Cartesian
0.000 0.000 0.000
0.000 2.153 1.564
1.359 0.000 2.373
1.359 2.153 3.936
```

Results
- Density of states at the Fermi level: 2.856 states/eV/f.u.
- Symmetry: No. 25
- ΔE_f: 38 meV/atom

(9)
A crystal of LiCu2F6 relaxed with PBEsol, computed with meta-GGA SCAN.

Structure (POSCAR):
```
LiCu2F6
1.0
5.529 0.000 0.000
0.000 4.509 0.000
-2.487 0.000 15.101
Li Cu F
4 8 24
Cartesian
-0.405 0.049 6.398
-1.649 2.206 13.949
4.690 2.304 1.152
3.447 4.460 8.703
0.730 2.410 3.744
-0.514 4.354 11.294
1.927 0.064 1.240
0.683 2.190 8.791
2.358 2.319 6.310
1.115 4.445 13.861
3.556 0.155 3.807
2.312 2.100 11.357
-1.752 3.115 12.129
-0.508 3.650 4.578
-0.592 1.079 8.016
0.651 1.175 0.466
-0.610 3.341 9.654
0.633 3.423 2.104
-0.300 0.875 12.936
0.943 1.379 5.386
0.942 3.321 7.179
-0.301 3.444 14.730
0.781 1.119 10.503
2.025 1.136 2.952
1.017 3.374 12.149
2.260 3.391 4.598
3.343 1.066 0.371
2.100 1.189 7.922
2.098 3.130 9.715
3.342 3.634 2.165
2.409 1.086 12.997
3.652 1.168 5.447
2.390 3.334 14.635
3.634 3.430 7.085
3.550 0.860 10.523
4.794 1.395 2.972
```

Results
- Density of states at the Fermi level: 1.990 states/eV/f.u.
- Symmetry: No. 14
- Excess energy over the best structure of this formula in the dataset: 16.9 meV per atom
- Raw formation energy: -2064 meV per atom

(10)
A crystal of KTaTc2 relaxed with PBEsol, computed with meta-GGA SCAN.

Structure (POSCAR):
```
KTaTc2
1.0
3.162 0.000 0.000
0.000 4.619 0.000
0.000 0.000 9.958
K Ta Tc
2 2 4
Cartesian
0.000 0.000 0.000
1.581 2.310 0.000
0.000 0.000 4.979
1.581 2.310 4.979
0.000 2.310 2.910
0.000 2.310 7.048
1.581 0.000 2.910
1.581 0.000 7.048
```

Results
- Density of states at the Fermi level: 2.570 states/eV/f.u.
- Symmetry: No. 65
- Excess energy over the best structure of this formula in the dataset: 0.0 meV per atom
- ΔE_f: 516 meV/atom

(11)
A crystal of Hf2CuMoW relaxed with PBEsol, computed with meta-GGA SCAN.

Structure (POSCAR):
```
Hf2CuMoW
1.0
4.850 0.000 0.000
0.000 4.850 0.000
0.000 0.000 4.593
Hf Cu Mo W
2 1 1 1
Cartesian
0.000 2.425 0.000
2.425 0.000 0.000
0.000 0.000 2.296
2.425 2.425 2.296
0.000 0.000 0.000
```

Results
- Density of states at the Fermi level: 4.650 states/eV/f.u.
- Symmetry: No. 123
- ΔE_f: 1519 meV/atom

(12)
A crystal of Sc3FeC4 relaxed with PBEsol, computed with meta-GGA SCAN.

Structure (POSCAR):
```
Sc3FeC4
1.0
3.369 0.000 0.000
0.000 4.299 0.000
0.000 0.000 11.957
Sc Fe C
6 2 8
Cartesian
0.000 0.000 0.000
0.000 2.150 2.262
0.000 2.150 9.695
1.685 0.000 3.717
1.685 0.000 8.240
1.685 2.150 5.978
0.000 0.000 5.978
1.685 2.150 0.000
0.000 1.425 4.508
0.000 1.425 7.449
0.000 2.874 4.508
0.000 2.874 7.449
1.685 0.725 1.470
1.685 0.725 10.486
1.685 3.575 1.470
1.685 3.575 10.486
```

Results
- Density of states at the Fermi level: 2.359 states/eV/f.u.
- Symmetry: No. 71
- ΔE_f: -496 meV/atom